Material: BeCdW2
Method: DFT, GGA-PBEsol
State: relaxed

Unit cell a=2.747 b=2.747 c=7.699 alpha=90.00 beta=90.00 gamma=90.00
Space group P4/mmm (No. 123)
One atom of each set of equivalent atoms:
1 Be 0.000 0.000 0.000
2 Cd 0.000 0.000 0.500
3 W 0.500 0.500 0.201

Computed properties:
* energy above the lowest structure with this stoichiometry: 0.000 eV per atom
* crystal system: tetragonal
* raw total energy: -7.750 eV/atom